1.
Compound: CsCuTeOsSe2
Source: the Open Quantum Materials Database
Functional: PBE
Structure: optimized geometry

Results
**Electronic total energy**: -54.74 eV/cell
**Magnetization**: 0.129 Bohr magnetons per cell

a b c (Å): 8.629 8.629 9.982
angles (deg): 90.00 90.00 154.01
Element x y z (fractional)
Cs 0.227 0.773 0.750
Cs 0.773 0.227 0.250
Cu 0.467 0.533 0.250
Cu 0.533 0.467 0.750
Te 0.071 0.929 0.250
Te 0.929 0.071 0.750
Os 0.000 0.000 0.000
Os 0.000 0.000 0.500
Se 0.405 0.595 0.040
Se 0.405 0.595 0.460
Se 0.595 0.405 0.540
Se 0.595 0.405 0.960


2.
Compound: CsCu3Te4Os
Source: the Open Quantum Materials Database
Functional: PBE
Structure: optimized geometry

Results
**Electronic total energy**: -34.40 eV/cell
**Magnetization**: 0.002 Bohr magnetons per cell

a b c (Å): 6.700 6.700 6.700
angles (deg): 90.00 90.00 90.00
Element x y z (fractional)
Cs 0.000 0.000 0.000
Cu 0.000 0.500 0.500
Cu 0.500 0.000 0.500
Cu 0.500 0.500 0.000
Te 0.285 0.285 0.285
Te 0.285 0.715 0.715
Te 0.715 0.285 0.715
Te 0.715 0.715 0.285
Os 0.500 0.500 0.500


3.
Compound: CsRb3Cu2P2
Source: the Open Quantum Materials Database
Functional: PBE
Structure: optimized geometry

Results
**Electronic total energy**: -24.16 eV/cell

a b c (Å): 6.458 6.053 6.490
angles (deg): 90.00 108.42 90.00
Element x y z (fractional)
Cs 0.000 0.000 0.000
Rb 0.289 0.500 0.292
Rb 0.658 0.000 0.338
Rb 0.950 0.500 0.627
Cu 0.471 0.250 0.813
Cu 0.471 0.750 0.813
P 0.258 0.000 0.587
P 0.690 0.500 0.035